First-principles (GGA-PBE) data for a relaxed structure of Sm4HSe5, as listed in Alexandria.

Lattice parameters (Å, degrees): 9.981 9.981 7.635 112.41 112.41 23.64
Sites, in units of the cell vectors:
Sm 0.000 0.000 0.247
Sm 0.000 0.000 0.753
Sm 0.281 0.281 0.781
Sm 0.719 0.719 0.219
H 0.500 0.500 0.000
Se 0.161 0.161 0.401
Se 0.161 0.161 0.923
Se 0.500 0.500 0.500
Se 0.839 0.839 0.077
Se 0.839 0.839 0.599

The density of states at the Fermi level comes out at 1.65 states/eV per cell. For the raw total energy, the calculation gives -5.476 eV/atom. The volume is 280.97 Å³/cell.

***

First-principles (GGA-PBE) data for a relaxed structure of Sm2HSe2, as listed in Alexandria.

Lattice parameters (Å, degrees): 5.515 5.515 11.121 90.00 90.00 139.09
Sites, in units of the cell vectors:
Sm 0.040 0.960 0.500
Sm 0.236 0.764 0.751
Sm 0.764 0.236 0.251
Sm 0.960 0.040 0.000
H 0.360 0.640 0.117
H 0.640 0.360 0.617
Se 0.055 0.945 0.243
Se 0.323 0.677 0.455
Se 0.677 0.323 0.955
Se 0.945 0.055 0.743

The density of states at the Fermi level comes out at 4.49 states/eV per cell. For the raw total energy, the calculation gives -5.346 eV/atom. The volume is 221.53 Å³/cell.

***

First-principles (GGA-PBE) data for a relaxed structure of Sm2H4Se, as listed in Alexandria.

Lattice parameters (Å, degrees): 7.631 7.631 7.631 29.35 29.35 29.35
Sites, in units of the cell vectors:
Sm 0.242 0.242 0.242
Sm 0.758 0.758 0.758
H 0.137 0.137 0.137
H 0.434 0.434 0.434
H 0.566 0.566 0.566
H 0.863 0.863 0.863
Se 0.000 0.000 0.000

For the raw total energy, the calculation gives -4.735 eV/atom. The volume is 94.49 Å³/cell.

***

First-principles (GGA-PBE) data for a relaxed structure of Sm4HSe2, as listed in Alexandria.

Lattice parameters (Å, degrees): 4.373 4.373 16.480 90.00 90.00 90.00
Sites, in units of the cell vectors:
Sm 0.000 0.000 0.180
Sm 0.000 0.000 0.820
Sm 0.000 0.500 0.000
Sm 0.000 0.500 0.500
Sm 0.500 0.000 0.000
Sm 0.500 0.000 0.500
Sm 0.500 0.500 0.320
Sm 0.500 0.500 0.680
H 0.000 0.000 0.000
H 0.500 0.500 0.500
Se 0.000 0.000 0.364
Se 0.000 0.000 0.636
Se 0.500 0.500 0.136
Se 0.500 0.500 0.864

The density of states at the Fermi level comes out at 10.51 states/eV per cell. For the raw total energy, the calculation gives -5.114 eV/atom. The volume is 315.21 Å³/cell.

***

What is the formula in the fourth record? Sm4HSe2

***

Number 1 is which compound? Sm4HSe5